# 1
Ho6GeAs3P2: optimized geometry, PBE-GGA.

Structure (POSCAR):
```
Ho6GeAs3P2
1.0
-0.162 2.976 -2.742
4.170 -4.631 -5.272
-8.335 -3.571 -0.392
Ho Ge As P
6 1 3 2
Direct
0.332 0.909 0.663
0.669 0.579 0.338
0.668 0.091 0.337
0.003 0.255 0.005
0.997 0.745 0.995
0.331 0.421 0.662
0.500 0.000 0.000
0.500 0.500 0.000
0.834 0.167 0.668
0.166 0.833 0.332
0.833 0.665 0.665
0.167 0.335 0.335
```

Values from the calculation:
V, A^3/atom: 23.8
E_form, meV/atom: -1400
Final energy, eV/atom: -6.137


# 2
Dy3Ho2Cd4: optimized geometry, PBE-GGA.

Structure (POSCAR):
```
Dy3Ho2Cd4
1.0
6.670 0.000 0.000
0.000 8.034 0.000
-3.335 0.000 9.385
Dy Ho Cd
6 4 8
Direct
0.000 0.000 0.000
0.500 0.500 0.000
0.505 0.750 0.509
0.995 0.250 0.491
0.495 0.250 0.491
0.005 0.750 0.509
0.091 0.601 0.183
0.909 0.399 0.817
0.409 0.101 0.817
0.591 0.899 0.183
0.674 0.750 0.847
0.826 0.250 0.153
0.326 0.250 0.153
0.174 0.750 0.847
0.159 0.980 0.318
0.841 0.020 0.682
0.341 0.480 0.682
0.659 0.520 0.318
```

Values from the calculation:
V, A^3/atom: 27.9
E_form, meV/atom: -133
Final energy, eV/atom: -3.091


# 3
TaNbTc3: optimized geometry, PBE-GGA.

Structure (POSCAR):
```
TaNbTc3
1.0
-2.617 1.375 -3.593
-1.999 -4.199 -0.150
-3.287 1.459 2.952
Nb Tc Ta
1 3 1
Direct
0.500 0.500 0.500
0.000 0.500 0.000
0.000 0.000 0.500
0.500 0.000 0.000
0.000 0.000 0.000
```

Values from the calculation:
V, A^3/atom: 20.1
E_form, meV/atom: 1554
Final energy, eV/atom: -9.050


# 4
NdTi6: optimized geometry, PBE-GGA.

Structure (POSCAR):
```
NdTi6
1.0
6.043 0.000 0.000
-2.014 5.698 0.000
-2.014 -2.849 4.934
Nd Ti
1 6
Direct
0.000 0.000 0.000
0.250 0.750 0.500
0.500 0.750 0.250
0.250 0.500 0.750
0.750 0.250 0.500
0.500 0.250 0.750
0.750 0.500 0.250
```

Values from the calculation:
V, A^3/atom: 24.3
E_form, meV/atom: 1330
Final energy, eV/atom: -6.118


# 5
Al4VCo5: optimized geometry, PBE-GGA.

Structure (POSCAR):
```
Al4VCo5
1.0
2.805 0.000 0.000
0.000 2.805 0.000
0.000 0.000 14.848
Al V Co
4 1 5
Direct
0.000 0.000 0.205
0.000 0.000 0.402
0.000 0.000 0.598
0.000 0.000 0.795
0.000 0.000 0.000
0.500 0.500 0.104
0.500 0.500 0.304
0.500 0.500 0.500
0.500 0.500 0.696
0.500 0.500 0.896
```

Values from the calculation:
V, A^3/atom: 11.7
E_form, meV/atom: -503
Final energy, eV/atom: -6.465


# 6
As2WCl: optimized geometry, PBE-GGA.

Structure (POSCAR):
```
As2WCl
1.0
3.435 -0.012 0.067
1.744 2.959 0.067
1.348 0.767 8.236
As W Cl
2 1 1
Direct
0.859 0.859 0.948
0.641 0.641 0.552
0.250 0.250 0.750
0.750 0.750 0.250
```

Values from the calculation:
V, A^3/atom: 20.9
Final energy, eV/atom: -5.997
Formation energy without anion corrections, eV per atom: 0.03


Please write out number 2 again, unchanged.
Dy3Ho2Cd4: optimized geometry, PBE-GGA.

Structure (POSCAR):
```
Dy3Ho2Cd4
1.0
6.670 0.000 0.000
0.000 8.034 0.000
-3.335 0.000 9.385
Dy Ho Cd
6 4 8
Direct
0.000 0.000 0.000
0.500 0.500 0.000
0.505 0.750 0.509
0.995 0.250 0.491
0.495 0.250 0.491
0.005 0.750 0.509
0.091 0.601 0.183
0.909 0.399 0.817
0.409 0.101 0.817
0.591 0.899 0.183
0.674 0.750 0.847
0.826 0.250 0.153
0.326 0.250 0.153
0.174 0.750 0.847
0.159 0.980 0.318
0.841 0.020 0.682
0.341 0.480 0.682
0.659 0.520 0.318
```

Values from the calculation:
V, A^3/atom: 27.9
E_form, meV/atom: -133
Final energy, eV/atom: -3.091


- Among the records above, which one has the highest final energy?
  Dy3Ho2Cd4


- Among the records above, which one has the highest V?
  Dy3Ho2Cd4


- Which formula does entry 3 have?
  TaNbTc3